Record 1
BaSnIBr2 | PBE | relaxed

Cell: 6.417 6.417 6.356 Å, 90.00 90.00 90.00°
Element x y z (fractional)
1 Ba 0.000 0.000 0.000
2 Sn 0.500 0.500 0.000
3 I 0.000 0.000 0.500
4 Br 0.000 0.500 0.500
5 Br 0.500 0.000 0.500

* crystal system: tetragonal
* ΔE_f (raw): -0.767 eV/f.u.
* SG: P4/mmm, No. 123


Record 2
ThB2Ru3 | PBE | relaxed

Cell: 5.544 5.544 3.094 Å, 90.00 90.00 120.00°
Element x y z (fractional)
1 Th 0.000 0.000 0.000
2 B 0.333 0.667 0.000
3 B 0.667 0.333 0.000
4 Ru 0.000 0.500 0.500
5 Ru 0.500 0.000 0.500
6 Ru 0.500 0.500 0.500

* crystal system: hexagonal
* energy relative to the elements: -0.5096 eV/atom
* SG: P6/mmm, No. 191


Record 3
Rb2NaIn4Au3 | PBE | relaxed

Cell: 5.072 5.072 11.419 Å, 90.00 90.00 90.00°
Element x y z (fractional)
1 Rb 0.000 0.500 0.249
2 Rb 0.500 0.000 0.751
3 Na 0.000 0.000 0.500
4 In 0.000 0.000 0.000
5 In 0.000 0.500 0.638
6 In 0.500 0.000 0.362
7 In 0.500 0.500 0.000
8 Au 0.000 0.500 0.882
9 Au 0.500 0.000 0.118
10 Au 0.500 0.500 0.500

* crystal system: tetragonal
* energy relative to the elements: -0.2032 eV/atom
* SG: P-4m2, No. 115


Record 4
Li2CaCeGe2 | PBE | relaxed

Cell: 4.507 4.507 7.395 Å, 90.00 90.00 120.00°
Element x y z (fractional)
1 Li 0.333 0.667 0.248
2 Li 0.667 0.333 0.752
3 Ca 0.000 0.000 0.000
4 Ce 0.000 0.000 0.500
5 Ge 0.333 0.667 0.722
6 Ge 0.667 0.333 0.278

* crystal system: trigonal
* energy relative to the elements: -0.5800 eV/atom
* SG: P-3m1, No. 164


Record 5
CuHRu3 | PBE | relaxed

Cell: 4.550 4.550 4.550 Å, 90.00 90.00 90.00°
Element x y z (fractional)
1 Cu 0.000 0.000 0.000
2 H 0.500 0.500 0.500
3 Ru 0.000 0.000 0.500
4 Ru 0.000 0.500 0.000
5 Ru 0.500 0.000 0.000

* crystal system: cubic
* ΔE to the lowest computed polymorph: 2.013 eV per atom
* SG: Pm-3m, No. 221


Record 6
CdPd2Se2 | PBE | relaxed

Cell: 7.002 7.002 7.002 Å, 147.50 147.50 46.63°
Element x y z (fractional)
1 Cd 0.000 0.000 0.000
2 Pd 0.395 0.395 0.000
3 Pd 0.605 0.605 0.000
4 Se 0.250 0.750 0.500
5 Se 0.750 0.250 0.500

* crystal system: tetragonal
* ΔE to the lowest computed polymorph: 0.091 eV per atom
* ΔE_f (raw): 0.079 eV/f.u.
* SG: I4/mmm, No. 139